Record 1
VASP calculation (PBE-GGA) on an optimized crystal structure of Y3TmIn2.

```
data_Y3TmIn2
_cell_length_a 5.1706
_cell_length_b 9.8112
_cell_length_c 6.7115
_cell_angle_alpha 90.00
_cell_angle_beta 90.00
_cell_angle_gamma 90.00
_symmetry_space_group_name_H-M 'P m c 21'
_symmetry_Int_Tables_number 26
_symmetry_space_group_name_Hall 'P 2c -2'
loop_
_atom_site_label
_atom_site_fract_x
_atom_site_fract_y
_atom_site_fract_z
Y1 0.0000 0.0360 0.0000
Y2 0.0000 0.3212 0.3482
Y3 0.5000 0.1837 0.7210
Tm1 0.5000 0.4631 0.0693
In1 0.0000 0.3580 0.8266
In2 0.5000 0.1417 0.2448
```

E_form ... -0.381 eV per atom
Total magnetization ... 0.000 μB/f.u.
V ... 340.47 Å³/cell
Total DFT energy (no corrections) ... -5.27 eV/atom
Theoretical density ... 6.5 Mg/m³

---

Record 2
VASP calculation (PBE-GGA) on an optimized crystal structure of Y2TmIn2.

```
data_Y2TmIn2
_cell_length_a 4.8276
_cell_length_b 6.7330
_cell_length_c 8.8376
_cell_angle_alpha 90.00
_cell_angle_beta 90.00
_cell_angle_gamma 90.00
_symmetry_space_group_name_H-M 'I m m m'
_symmetry_Int_Tables_number 71
_symmetry_space_group_name_Hall '-I 2 2'
loop_
_atom_site_label
_atom_site_fract_x
_atom_site_fract_y
_atom_site_fract_z
Y1 0.0000 0.0000 0.1954
Tm1 0.0000 0.5000 0.0000
In1 0.0000 0.2853 0.5000
```

E_form ... -0.376 eV per atom
Total magnetization ... 0.000 μB/f.u.
V ... 287.26 Å³/cell
Total DFT energy (no corrections) ... -4.95 eV/atom
Theoretical density ... 6.7 Mg/m³

---

Record 3
VASP calculation (PBE-GGA) on an optimized crystal structure of YTm2In2.

```
data_YTm2In2
_cell_length_a 3.7218
_cell_length_b 5.3058
_cell_length_c 13.8497
_cell_angle_alpha 90.00
_cell_angle_beta 97.73
_cell_angle_gamma 90.00
_symmetry_space_group_name_H-M 'P 1 21/m 1'
_symmetry_Int_Tables_number 11
_symmetry_space_group_name_Hall '-P 2yb'
loop_
_atom_site_label
_atom_site_fract_x
_atom_site_fract_y
_atom_site_fract_z
Y1 0.1483 0.2500 0.2980
Tm1 0.0481 0.7500 0.0961
Tm2 0.2375 0.7500 0.4751
In1 0.3568 0.2500 0.7123
In2 0.4506 0.7500 0.9019
```

E_form ... -0.379 eV per atom
Total magnetization ... 0.000 μB/f.u.
V ... 271.01 Å³/cell
Total DFT energy (no corrections) ... -4.56 eV/atom
Theoretical density ... 8.0 Mg/m³

---

Record 4
VASP calculation (PBE-GGA) on an optimized crystal structure of Y2Tm3In2.

```
data_Y2Tm3In2
_cell_length_a 11.4227
_cell_length_b 5.1157
_cell_length_c 6.8844
_cell_angle_alpha 90.00
_cell_angle_beta 90.27
_cell_angle_gamma 90.00
_symmetry_space_group_name_H-M 'C 1 2/m 1'
_symmetry_Int_Tables_number 12
_symmetry_space_group_name_Hall '-C 2y'
loop_
_atom_site_label
_atom_site_fract_x
_atom_site_fract_y
_atom_site_fract_z
Y1 0.1000 0.0000 0.3173
Tm1 0.0000 0.5000 0.0000
Tm2 0.2056 0.0000 0.8371
In1 0.1198 0.5000 0.5880
```

E_form ... -0.268 eV per atom
Total magnetization ... 0.000 μB/f.u.
V ... 402.29 Å³/cell
Total DFT energy (no corrections) ... -4.81 eV/atom
Theoretical density ... 7.5 Mg/m³

---

Record 5
VASP calculation (PBE-GGA) on an optimized crystal structure of YTm2In2.

```
data_YTm2In2
_cell_length_a 4.5366
_cell_length_b 4.5366
_cell_length_c 28.9763
_cell_angle_alpha 90.00
_cell_angle_beta 90.00
_cell_angle_gamma 90.00
_symmetry_space_group_name_H-M 'I 4/m m m'
_symmetry_Int_Tables_number 139
_symmetry_space_group_name_Hall '-I 4 2'
loop_
_atom_site_label
_atom_site_fract_x
_atom_site_fract_y
_atom_site_fract_z
Y1 0.0000 0.0000 0.1405
Tm1 0.0000 0.0000 0.4260
Tm2 0.0000 0.5000 0.2500
In1 0.0000 0.0000 0.3251
In2 0.0000 0.5000 0.0000
```

E_form ... -0.132 eV per atom
Total magnetization ... 0.000 μB/f.u.
V ... 596.37 Å³/cell
Total DFT energy (no corrections) ... -4.31 eV/atom
Theoretical density ... 7.3 Mg/m³

---

Record 6
VASP calculation (PBE-GGA) on an optimized crystal structure of Y6Tm12In.

```
data_Y6Tm12In
_cell_length_a 12.1351
_cell_length_b 12.1351
_cell_length_c 13.9456
_cell_angle_alpha 90.00
_cell_angle_beta 90.00
_cell_angle_gamma 120.00
_symmetry_space_group_name_H-M 'R -3'
_symmetry_Int_Tables_number 148
_symmetry_space_group_name_Hall '-R 3'
loop_
_atom_site_label
_atom_site_fract_x
_atom_site_fract_y
_atom_site_fract_z
Y1 0.0274 0.4333 0.2083
Tm1 0.0436 0.1820 0.3128
Tm2 0.0641 0.8680 0.9063
In1 0.0000 0.0000 0.5000
```

E_form ... 0.098 eV per atom
Total magnetization ... 0.006 μB/f.u.
V ... 1778.50 Å³/cell
Total DFT energy (no corrections) ... -4.91 eV/atom
Theoretical density ... 7.5 Mg/m³

---

Record 7
VASP calculation (PBE-GGA) on an optimized crystal structure of Y2Tm2In.

```
data_Y2Tm2In
_cell_length_a 12.5133
_cell_length_b 3.7527
_cell_length_c 8.6211
_cell_angle_alpha 90.00
_cell_angle_beta 132.44
_cell_angle_gamma 90.00
_symmetry_space_group_name_H-M 'C 1 2/m 1'
_symmetry_Int_Tables_number 12
_symmetry_space_group_name_Hall '-C 2y'
loop_
_atom_site_label
_atom_site_fract_x
_atom_site_fract_y
_atom_site_fract_z
Y1 0.0810 0.0000 0.3758
Tm1 0.2359 0.5000 0.8273
In1 0.0000 0.5000 0.0000
```

E_form ... -0.170 eV per atom
Total magnetization ... 0.000 μB/f.u.
V ... 298.74 Å³/cell
Total DFT energy (no corrections) ... -5.09 eV/atom
Theoretical density ... 7.0 Mg/m³

---

Record 8
VASP calculation (PBE-GGA) on an optimized crystal structure of Y5Tm3In2.

```
data_Y5Tm3In2
_cell_length_a 12.8032
_cell_length_b 15.7802
_cell_length_c 6.2835
_cell_angle_alpha 90.00
_cell_angle_beta 90.00
_cell_angle_gamma 90.00
_symmetry_space_group_name_H-M 'I b a m'
_symmetry_Int_Tables_number 72
_symmetry_space_group_name_Hall '-I 2 2c'
loop_
_atom_site_label
_atom_site_fract_x
_atom_site_fract_y
_atom_site_fract_z
Y1 0.0000 0.0000 0.2500
Y2 0.1248 0.1672 0.0000
Y3 0.2487 0.5000 0.2500
Tm1 0.0000 0.5000 0.2500
Tm2 0.1042 0.2822 0.5000
In1 0.1347 0.3550 0.0000
```

E_form ... 0.138 eV per atom
Total magnetization ... 0.000 μB/f.u.
V ... 1269.50 Å³/cell
Total DFT energy (no corrections) ... -4.98 eV/atom
Theoretical density ... 6.2 Mg/m³

---

Record 9
VASP calculation (PBE-GGA) on an optimized crystal structure of Y4TmIn.

```
data_Y4TmIn
_cell_length_a 19.0398
_cell_length_b 6.5061
_cell_length_c 6.2233
_cell_angle_alpha 90.00
_cell_angle_beta 99.57
_cell_angle_gamma 90.00
_symmetry_space_group_name_H-M 'C 1 2/c 1'
_symmetry_Int_Tables_number 15
_symmetry_space_group_name_Hall '-C 2yc'
loop_
_atom_site_label
_atom_site_fract_x
_atom_site_fract_y
_atom_site_fract_z
Y1 0.0826 0.1247 0.4541
Y2 0.1625 0.3529 0.0307
Tm1 0.0000 0.4247 0.7500
In1 0.2500 0.2500 0.5000
```

E_form ... 0.009 eV per atom
Total magnetization ... 0.000 μB/f.u.
V ... 760.17 Å³/cell
Total DFT energy (no corrections) ... -5.50 eV/atom
Theoretical density ... 5.6 Mg/m³

---

Record 10
VASP calculation (PBE-GGA) on an optimized crystal structure of Y2Tm8In.

```
data_Y2Tm8In
_cell_length_a 19.1150
_cell_length_b 5.4660
_cell_length_c 6.3412
_cell_angle_alpha 90.00
_cell_angle_beta 94.83
_cell_angle_gamma 90.00
_symmetry_space_group_name_H-M 'C 1 2/m 1'
_symmetry_Int_Tables_number 12
_symmetry_space_group_name_Hall '-C 2y'
loop_
_atom_site_label
_atom_site_fract_x
_atom_site_fract_y
_atom_site_fract_z
Y1 0.2429 0.0000 0.3310
Tm1 0.0452 0.0000 0.2661
Tm2 0.0788 0.5000 0.5947
Tm3 0.1522 0.0000 0.8052
Tm4 0.1610 0.5000 0.1219
In1 0.0000 0.5000 0.0000
```

E_form ... -0.054 eV per atom
Total magnetization ... 0.000 μB/f.u.
V ... 660.19 Å³/cell
Total DFT energy (no corrections) ... -4.73 eV/atom
Theoretical density ... 8.3 Mg/m³

---

Record 11
VASP calculation (PBE-GGA) on an optimized crystal structure of YTmIn4.

```
data_YTmIn4
_cell_length_a 4.8453
_cell_length_b 4.8453
_cell_length_c 7.8313
_cell_angle_alpha 90.00
_cell_angle_beta 90.00
_cell_angle_gamma 90.00
_symmetry_space_group_name_H-M 'P 4/m m m'
_symmetry_Int_Tables_number 123
_symmetry_space_group_name_Hall '-P 4 2'
loop_
_atom_site_label
_atom_site_fract_x
_atom_site_fract_y
_atom_site_fract_z
Y1 0.0000 0.0000 0.0000
Tm1 0.5000 0.5000 0.5000
In1 0.0000 0.5000 0.2567
```

E_form ... -0.049 eV per atom
Total magnetization ... 0.000 μB/f.u.
V ... 183.85 Å³/cell
Total DFT energy (no corrections) ... -3.70 eV/atom
Theoretical density ... 6.5 Mg/m³

---

Record 12
VASP calculation (PBE-GGA) on an optimized crystal structure of YTm3In3.

```
data_YTm3In3
_cell_length_a 9.2252
_cell_length_b 9.2252
_cell_length_c 9.2252
_cell_angle_alpha 90.00
_cell_angle_beta 90.00
_cell_angle_gamma 90.00
_symmetry_space_group_name_H-M 'P 21 3'
_symmetry_Int_Tables_number 198
_symmetry_space_group_name_Hall 'P 2ac 2ab 3'
loop_
_atom_site_label
_atom_site_fract_x
_atom_site_fract_y
_atom_site_fract_z
Y1 0.0532 0.4468 0.5532
Tm1 0.1123 0.6123 0.8877
Tm2 0.1683 0.1683 0.1683
Tm3 0.1970 0.8030 0.3030
In1 0.0057 0.7928 0.6046
```

E_form ... -0.302 eV per atom
Total magnetization ... 0.000 μB/f.u.
V ... 785.10 Å³/cell
Total DFT energy (no corrections) ... -4.32 eV/atom
Theoretical density ... 8.0 Mg/m³

---

Among the records above, which one has the lowest theoretical density?
Y4TmIn